Material: Er7Ni2Te2
Method: DFT, SCAN
State: PBEsol geometry

Values from the calculation:
Raw total energy: -934.6 eV for the cell shown
Spin magnetization: 0.000 μB/atom
E_form (uncorrected): -780 kJ/mol of formula units

```
data_Er7Ni2Te2
_cell_length_a 3.761
_cell_length_b 15.255
_cell_length_c 9.344
_cell_angle_alpha 90.00
_cell_angle_beta 90.00
_cell_angle_gamma 90.00
_symmetry_space_group_name_H-M 'I m m 2'
_symmetry_Int_Tables_number 44
loop_
_symmetry_equiv_pos_as_xyz
'x,y,z'
'-x,-y,z'
'-x,y,z'
'x,-y,z'
'x+1/2,y+1/2,z+1/2'
'-x+1/2,-y+1/2,z+1/2'
'-x+1/2,y+1/2,z+1/2'
'x+1/2,-y+1/2,z+1/2'
loop_
_atom_site_label
_atom_site_type_symbol
_atom_site_fract_x
_atom_site_fract_y
_atom_site_fract_z
Er1 Er 0.000 0.000 0.000
Er2 Er 0.000 0.134 0.581
Er3 Er 0.000 0.315 0.378
Er4 Er 0.000 0.353 0.729
Ni1 Ni 0.000 0.236 0.070
Te1 Te 0.000 0.000 0.337
Te2 Te 0.000 0.500 0.234
```


Material: PSO2
Method: DFT, SCAN
State: PBEsol geometry

Values from the calculation:
Raw total energy: -96.8 eV for the cell shown
Spin magnetization: 0.000 μB/atom
Relative energy among the computed polymorphs: 157 meV/atom
E_form (uncorrected): 21 kJ/mol of formula units

```
data_PSO2
_cell_length_a 3.0665
_cell_length_b 3.0665
_cell_length_c 18.3293
_cell_angle_alpha 90.00
_cell_angle_beta 90.00
_cell_angle_gamma 120.00
_symmetry_space_group_name_H-M 'R -3 m'
_symmetry_Int_Tables_number 166
_symmetry_space_group_name_Hall '-R 3 2"'
loop_
_atom_site_label
_atom_site_type_symbol
_atom_site_fract_x
_atom_site_fract_y
_atom_site_fract_z
P1 P 0.0000 0.0000 0.0000
S1 S 0.0000 0.0000 0.5000
O1 O 0.0000 0.0000 0.3936
```


Material: SrMg2In
Method: DFT, SCAN
State: PBEsol geometry

Values from the calculation:
Raw total energy: -266.3 eV for the cell shown
Spin magnetization: 0.001 μB/atom
ΔH_f (0 K): -239 meV/atom

```
data_SrMg2In
_cell_length_a 7.498
_cell_length_b 7.498
_cell_length_c 7.498
_cell_angle_alpha 90.00
_cell_angle_beta 90.00
_cell_angle_gamma 90.00
_symmetry_space_group_name_H-M 'F -4 3 m'
_symmetry_Int_Tables_number 216
_symmetry_space_group_name_Hall 'F -4 2 3'
loop_
_atom_site_label
_atom_site_type_symbol
_atom_site_fract_x
_atom_site_fract_y
_atom_site_fract_z
Sr1 Sr 0.000 0.000 0.000
Mg1 Mg 0.000 0.000 0.500
Mg2 Mg 0.250 0.250 0.750
In1 In 0.250 0.250 0.250
```


Material: YMnSbBr2
Method: DFT, SCAN
State: PBEsol geometry

Values from the calculation:
Raw total energy: -124.1 eV for the cell shown
Spin magnetization: 0.943 μB/atom
E_form (uncorrected): -173 kJ/mol of formula units

```
data_YMnSbBr2
_cell_length_a 4.682
_cell_length_b 4.682
_cell_length_c 6.301
_cell_angle_alpha 90.00
_cell_angle_beta 90.00
_cell_angle_gamma 90.00
_symmetry_space_group_name_H-M 'P 4/m m m'
_symmetry_Int_Tables_number 123
_symmetry_space_group_name_Hall '-P 4 2'
loop_
_atom_site_label
_atom_site_type_symbol
_atom_site_fract_x
_atom_site_fract_y
_atom_site_fract_z
Y1 Y 0.000 0.000 0.000
Mn1 Mn 0.000 0.000 0.500
Sb1 Sb 0.500 0.500 0.000
Br1 Br 0.000 0.500 0.500
```


Material: Hg2Se
Method: DFT, SCAN
State: PBEsol geometry

Values from the calculation:
Raw total energy: -313.2 eV for the cell shown
Spin magnetization: 0.000 μB/atom
Relative energy among the computed polymorphs: 0 meV/atom
E_form (uncorrected): -17 kJ/mol of formula units

```
data_Hg2Se
_cell_length_a 4.0541
_cell_length_b 4.0541
_cell_length_c 11.6400
_cell_angle_alpha 90.00
_cell_angle_beta 90.00
_cell_angle_gamma 120.00
_symmetry_space_group_name_H-M 'P 63/m m c'
_symmetry_Int_Tables_number 194
_symmetry_space_group_name_Hall '-P 6c 2c'
loop_
_atom_site_label
_atom_site_type_symbol
_atom_site_fract_x
_atom_site_fract_y
_atom_site_fract_z
Hg1 Hg 0.3333 0.6667 0.1355
Se1 Se 0.0000 0.0000 0.0000
```


Material: HWN2
Method: DFT, SCAN
State: PBEsol geometry

Values from the calculation:
Raw total energy: -253.0 eV for the cell shown
Spin magnetization: 0.000 μB/atom

```
data_HWN2
_cell_length_a 2.8209
_cell_length_b 2.8209
_cell_length_c 15.5297
_cell_angle_alpha 90.00
_cell_angle_beta 90.00
_cell_angle_gamma 120.00
_symmetry_space_group_name_H-M 'R -3 m'
_symmetry_Int_Tables_number 166
_symmetry_space_group_name_Hall '-R 3 2"'
loop_
_atom_site_label
_atom_site_type_symbol
_atom_site_fract_x
_atom_site_fract_y
_atom_site_fract_z
H1 H 0.0000 0.0000 0.0000
W1 W 0.0000 0.0000 0.5000
N1 N 0.0000 0.0000 0.3775
```


Material: InAgSCl2
Method: DFT, SCAN
State: PBEsol geometry

Values from the calculation:
Raw total energy: -91.4 eV for the cell shown
Spin magnetization: 0.000 μB/atom
E_form (uncorrected): -99 kJ/mol of formula units

```
data_InAgSCl2
_cell_length_a 4.856
_cell_length_b 4.856
_cell_length_c 4.943
_cell_angle_alpha 90.00
_cell_angle_beta 90.00
_cell_angle_gamma 90.00
_symmetry_space_group_name_H-M 'P 4/m m m'
_symmetry_Int_Tables_number 123
_symmetry_space_group_name_Hall '-P 4 2'
loop_
_atom_site_label
_atom_site_type_symbol
_atom_site_fract_x
_atom_site_fract_y
_atom_site_fract_z
In1 In 0.000 0.000 0.000
Ag1 Ag 0.500 0.500 0.500
S1 S 0.500 0.500 0.000
Cl1 Cl 0.000 0.500 0.500
```


Material: ScAlNi2
Method: DFT, SCAN
State: PBEsol geometry

Values from the calculation:
Raw total energy: -56.7 eV for the cell shown
Spin magnetization: 0.000 μB/atom
ΔH_f (0 K): -582 meV/atom

```
data_ScAlNi2
_cell_length_a 4.213
_cell_length_b 4.213
_cell_length_c 3.022
_cell_angle_alpha 90.00
_cell_angle_beta 90.00
_cell_angle_gamma 90.00
_symmetry_space_group_name_H-M 'P 4/m m m'
_symmetry_Int_Tables_number 123
_symmetry_space_group_name_Hall '-P 4 2'
loop_
_atom_site_label
_atom_site_type_symbol
_atom_site_fract_x
_atom_site_fract_y
_atom_site_fract_z
Sc1 Sc 0.000 0.000 0.000
Al1 Al 0.500 0.500 0.000
Ni1 Ni 0.000 0.500 0.500
```


Material: SrCaCu2
Method: DFT, SCAN
State: PBEsol geometry

Values from the calculation:
Raw total energy: -62.1 eV for the cell shown
Spin magnetization: 0.000 μB/atom
Relative energy among the computed polymorphs: 137 meV/atom
ΔH_f (0 K): 52 meV/atom

```
data_SrCaCu2
_cell_length_a 5.108
_cell_length_b 5.108
_cell_length_c 3.556
_cell_angle_alpha 90.00
_cell_angle_beta 90.00
_cell_angle_gamma 90.00
_symmetry_space_group_name_H-M 'P 4/m m m'
_symmetry_Int_Tables_number 123
_symmetry_space_group_name_Hall '-P 4 2'
loop_
_atom_site_label
_atom_site_type_symbol
_atom_site_fract_x
_atom_site_fract_y
_atom_site_fract_z
Sr1 Sr 0.000 0.000 0.000
Ca1 Ca 0.500 0.500 0.000
Cu1 Cu 0.000 0.500 0.500
```


Material: Pd2RuPtI
Method: DFT, SCAN
State: PBEsol geometry

Values from the calculation:
Raw total energy: -201.3 eV for the cell shown
Spin magnetization: 0.236 μB/atom
E_form (uncorrected): 582 kJ/mol of formula units

```
data_Pd2RuPtI
_cell_length_a 4.798
_cell_length_b 4.798
_cell_length_c 4.675
_cell_angle_alpha 90.00
_cell_angle_beta 90.00
_cell_angle_gamma 90.00
_symmetry_space_group_name_H-M 'P 4/m m m'
_symmetry_Int_Tables_number 123
_symmetry_space_group_name_Hall '-P 4 2'
loop_
_atom_site_label
_atom_site_type_symbol
_atom_site_fract_x
_atom_site_fract_y
_atom_site_fract_z
Pd1 Pd 0.000 0.500 0.000
Ru1 Ru 0.000 0.000 0.000
Pt1 Pt 0.000 0.000 0.500
I1 I 0.500 0.500 0.500
```


Material: IrOsRu2
Method: DFT, SCAN
State: PBEsol geometry

Values from the calculation:
Raw total energy: -212.5 eV for the cell shown
Spin magnetization: 0.000 μB/atom
Relative energy among the computed polymorphs: 0 meV/atom
ΔH_f (0 K): 25 meV/atom

```
data_IrOsRu2
_cell_length_a 2.679
_cell_length_b 2.679
_cell_length_c 7.607
_cell_angle_alpha 90.00
_cell_angle_beta 90.00
_cell_angle_gamma 90.00
_symmetry_space_group_name_H-M 'P 4/m m m'
_symmetry_Int_Tables_number 123
_symmetry_space_group_name_Hall '-P 4 2'
loop_
_atom_site_label
_atom_site_type_symbol
_atom_site_fract_x
_atom_site_fract_y
_atom_site_fract_z
Ir1 Ir 0.000 0.000 0.000
Os1 Os 0.000 0.000 0.500
Ru1 Ru 0.500 0.500 0.251
```


Material: TcSn3Ru
Method: DFT, SCAN
State: PBEsol geometry

Values from the calculation:
Raw total energy: -172.7 eV for the cell shown
Spin magnetization: 0.583 μB/atom
ΔH_f (0 K): 981 meV/atom

```
data_TcSn3Ru
_cell_length_a 5.017
_cell_length_b 5.017
_cell_length_c 5.017
_cell_angle_alpha 90.00
_cell_angle_beta 90.00
_cell_angle_gamma 90.00
_symmetry_space_group_name_H-M 'P m -3 m'
_symmetry_Int_Tables_number 221
_symmetry_space_group_name_Hall '-P 4 2 3'
loop_
_atom_site_label
_atom_site_type_symbol
_atom_site_fract_x
_atom_site_fract_y
_atom_site_fract_z
Tc1 Tc 0.000 0.000 0.000
Sn1 Sn 0.000 0.000 0.500
Ru1 Ru 0.500 0.500 0.500
```


Which value of raw total energy does entry 9 give?
-62.1 eV for the cell shown